Zn2CoCl after structural relaxation. Source: Alexandria, functional GGA-PBE.

```
Zn2CoCl
1.0
-1.330 1.718 -4.189
-3.357 0.408 3.292
1.080 2.711 0.767
Zn Co Cl
2 1 1
Direct
0.000 0.000 0.000
0.500 0.500 0.000
0.000 0.500 0.500
0.500 0.000 0.500
```

Properties
energy above the most stable polymorph in this dataset: 240 meV per atom
formation energy without anion corrections: 0.72 eV per formula unit
DOS at the Fermi energy: 1.50 states/eV per cell
SG: Cmmm
size of the total moment: 1.78 Bohr magnetons per cell
final energy: -2.696 eV per atom